(1)
Mg3ZnPt2 after structural relaxation, computed with PBE.

* spin magnetization: 0.00 μB/f.u.

a b c (Å): 10.4854 4.2994 9.1691
angles (deg): 90.00 90.00 90.00
Sites, in units of the cell vectors:
Mg 0.0293 0.2500 0.1168
Mg 0.1567 0.7500 0.6288
Mg 0.2165 0.2500 0.8482
Mg 0.2835 0.7500 0.3482
Mg 0.3433 0.2500 0.1288
Mg 0.4707 0.7500 0.6168
Mg 0.5293 0.2500 0.3832
Mg 0.6567 0.7500 0.8712
Mg 0.7165 0.2500 0.6518
Mg 0.7835 0.7500 0.1518
Mg 0.8433 0.2500 0.3712
Mg 0.9707 0.7500 0.8832
Zn 0.1037 0.2500 0.4287
Zn 0.3963 0.7500 0.9287
Zn 0.6037 0.2500 0.0713
Zn 0.8963 0.7500 0.5713
Pt 0.0088 0.7500 0.3075
Pt 0.1850 0.7500 0.0586
Pt 0.3150 0.2500 0.5586
Pt 0.4912 0.2500 0.8075
Pt 0.5088 0.7500 0.1925
Pt 0.6850 0.7500 0.4414
Pt 0.8150 0.2500 0.9414
Pt 0.9912 0.2500 0.6925


(2)
Mg2ZnPt after structural relaxation, computed with PBE.

* spin magnetization: 0.00 μB/f.u.

a b c (Å): 4.2896 4.2896 3.6103
angles (deg): 90.00 90.00 90.00
Sites, in units of the cell vectors:
Mg 0.0000 0.5000 0.0000
Mg 0.5000 0.0000 0.0000
Zn 0.0000 0.0000 0.5000
Pt 0.5000 0.5000 0.5000


(3)
Mg5ZnPt after structural relaxation, computed with PBE.

* spin magnetization: 0.00 μB/f.u.

a b c (Å): 7.0470 7.0470 9.3768
angles (deg): 112.68 112.68 69.16
Sites, in units of the cell vectors:
Mg 0.1041 0.8959 0.7500
Mg 0.2252 0.2702 0.6441
Mg 0.2702 0.2252 0.1441
Mg 0.2944 0.6652 0.0347
Mg 0.3348 0.7056 0.4653
Mg 0.6652 0.2944 0.5347
Mg 0.7056 0.3348 0.9653
Mg 0.7298 0.7748 0.8559
Mg 0.7748 0.7298 0.3559
Mg 0.8959 0.1041 0.2500
Zn 0.4451 0.5549 0.7500
Zn 0.5549 0.4451 0.2500
Pt 0.0000 0.0000 0.0000
Pt 0.0000 0.0000 0.5000


Quick rundown of ΔE_f, same order as above: -0.66, -0.51, -0.06 eV/atom